(1)
# FeReW2 (PBE, optimized geometry)
data_FeReW2
_chemical_formula_sum 'Fe2 Re2 W4'
_cell_length_a 5.3826
_cell_length_b 8.7646
_cell_length_c 2.6863
_cell_angle_alpha 90.00
_cell_angle_beta 108.97
_cell_angle_gamma 90.00
_symmetry_space_group_name_H-M 'C 1 2/m 1'
_symmetry_Int_Tables_number 12
loop_
_symmetry_equiv_pos_as_xyz
'x,y,z'
'-x,-y,-z'
'-x,y,-z'
'x,-y,z'
'x+1/2,y+1/2,z'
'-x+1/2,-y+1/2,-z'
'-x+1/2,y+1/2,-z'
'x+1/2,-y+1/2,z'
loop_
_atom_site_label
_atom_site_type_symbol
_atom_site_fract_x
_atom_site_fract_y
_atom_site_fract_z
_atom_site_occupancy
Fe1 Fe 0.0000 0.0000 0.0000 1
Re1 Re 0.0000 0.5000 0.0000 1
W1 W 0.2500 0.2500 0.5000 1
# ΔE_f in meV/atom: 114
# Total energy in eV/atom: -11.591
# Total magnetic moment in μB/f.u.: 2.62
# Distance to the lowest polymorph of the same formula in eV/f.u.: 0.02

=====

(2)
# Fe2ReW (PBE, optimized geometry)
data_Fe2ReW
_chemical_formula_sum 'Fe2 Re1 W1'
_cell_length_a 2.6152
_cell_length_b 4.2262
_cell_length_c 5.1018
_cell_angle_alpha 90.00
_cell_angle_beta 101.92
_cell_angle_gamma 90.00
_symmetry_space_group_name_H-M 'P 1 2/m 1'
_symmetry_Int_Tables_number 10
loop_
_symmetry_equiv_pos_as_xyz
'x,y,z'
'-x,-y,-z'
'-x,y,-z'
'x,-y,z'
loop_
_atom_site_label
_atom_site_type_symbol
_atom_site_fract_x
_atom_site_fract_y
_atom_site_fract_z
_atom_site_occupancy
Fe1 Fe 0.2476 0.0000 0.2468 1
Re1 Re 0.5000 0.5000 0.0000 1
W1 W 0.0000 0.5000 0.5000 1
# ΔE_f in meV/atom: 138
# Total energy in eV/atom: -10.444
# Total magnetic moment in μB/f.u.: 4.60

=====

(3)
# Fe2ReW (PBE, optimized geometry)
data_Fe2ReW
_chemical_formula_sum 'Fe2 Re1 W1'
_cell_length_a 3.0737
_cell_length_b 3.0737
_cell_length_c 5.7990
_cell_angle_alpha 90.00
_cell_angle_beta 90.00
_cell_angle_gamma 90.00
_symmetry_space_group_name_H-M 'P 4 m m'
_symmetry_Int_Tables_number 99
loop_
_symmetry_equiv_pos_as_xyz
'x,y,z'
'-y,x,z'
'-x,-y,z'
'y,-x,z'
'-x,y,z'
'y,x,z'
'x,-y,z'
'-y,-x,z'
loop_
_atom_site_label
_atom_site_type_symbol
_atom_site_fract_x
_atom_site_fract_y
_atom_site_fract_z
_atom_site_occupancy
Fe1 Fe 0.0000 0.0000 0.0000 1
Fe2 Fe 0.5000 0.5000 0.2225 1
Re1 Re 0.0000 0.0000 0.4804 1
W1 W 0.5000 0.5000 0.7451 1
# ΔE_f in meV/atom: 77
# Total energy in eV/atom: -10.505
# Total magnetic moment in μB/f.u.: 4.53

=====

(4)
# FeRe2W (PBE, optimized geometry)
data_FeRe2W
_chemical_formula_sum 'Fe2 Re4 W2'
_cell_length_a 3.1280
_cell_length_b 4.3118
_cell_length_c 8.6552
_cell_angle_alpha 90.00
_cell_angle_beta 90.00
_cell_angle_gamma 90.00
_symmetry_space_group_name_H-M 'I m m 2'
_symmetry_Int_Tables_number 44
loop_
_symmetry_equiv_pos_as_xyz
'x,y,z'
'-x,-y,z'
'-x,y,z'
'x,-y,z'
'x+1/2,y+1/2,z+1/2'
'-x+1/2,-y+1/2,z+1/2'
'-x+1/2,y+1/2,z+1/2'
'x+1/2,-y+1/2,z+1/2'
loop_
_atom_site_label
_atom_site_type_symbol
_atom_site_fract_x
_atom_site_fract_y
_atom_site_fract_z
_atom_site_occupancy
Fe1 Fe 0.0000 0.0000 0.0000 1
Re1 Re 0.0000 0.0000 0.4956 1
Re2 Re 0.0000 0.5000 0.2510 1
W1 W 0.0000 0.5000 0.7436 1
# ΔE_f in meV/atom: 132
# Total energy in eV/atom: -11.446
# Total magnetic moment in μB/f.u.: 2.60

=====

(5)
# FeReW (PBE, optimized geometry)
data_FeReW
_chemical_formula_sum 'Fe2 Re2 W2'
_cell_length_a 2.6963
_cell_length_b 3.7828
_cell_length_c 8.2867
_cell_angle_alpha 90.00
_cell_angle_beta 90.00
_cell_angle_gamma 90.00
_symmetry_space_group_name_H-M 'I m m 2'
_symmetry_Int_Tables_number 44
loop_
_symmetry_equiv_pos_as_xyz
'x,y,z'
'-x,-y,z'
'-x,y,z'
'x,-y,z'
'x+1/2,y+1/2,z+1/2'
'-x+1/2,-y+1/2,z+1/2'
'-x+1/2,y+1/2,z+1/2'
'x+1/2,-y+1/2,z+1/2'
loop_
_atom_site_label
_atom_site_type_symbol
_atom_site_fract_x
_atom_site_fract_y
_atom_site_fract_z
_atom_site_occupancy
Fe1 Fe 0.0000 0.0000 0.0000 1
Re1 Re 0.0000 0.0000 0.3460 1
W1 W 0.0000 0.0000 0.6673 1
# ΔE_f in meV/atom: 218
# Total energy in eV/atom: -11.070
# Total magnetic moment in μB/f.u.: 0.00
# Distance to the lowest polymorph of the same formula in eV/f.u.: 0.53

=====

(6)
# FeRe2W (PBE, optimized geometry)
data_FeRe2W
_chemical_formula_sum 'Fe1 Re2 W1'
_cell_length_a 2.7520
_cell_length_b 3.8367
_cell_length_c 5.4738
_cell_angle_alpha 90.00
_cell_angle_beta 90.00
_cell_angle_gamma 90.00
_symmetry_space_group_name_H-M 'P m m 2'
_symmetry_Int_Tables_number 25
loop_
_symmetry_equiv_pos_as_xyz
'x,y,z'
'-x,-y,z'
'-x,y,z'
'x,-y,z'
loop_
_atom_site_label
_atom_site_type_symbol
_atom_site_fract_x
_atom_site_fract_y
_atom_site_fract_z
_atom_site_occupancy
Fe1 Fe 0.0000 0.0000 0.0000 1
Re1 Re 0.0000 0.0000 0.4877 1
Re2 Re 0.5000 0.5000 0.2429 1
W1 W 0.5000 0.5000 0.7592 1
# ΔE_f in meV/atom: 159
# Total energy in eV/atom: -11.419
# Total magnetic moment in μB/f.u.: 1.29

=====

Q: Which of these has the highest ΔE_f?
A: FeReW

=====

Q: Among the records above, which one has the highest ΔE_f?
A: FeReW

=====

Q: Which value of total energy does entry 4 give?
A: -11.446 eV/atom

=====

Q: What is the total energy in the first record?
A: -11.591 eV/atom